[1]
A relaxed structure of BaZn2W. Source: Alexandria via LeMat-Bulk, functional GGA-PBE.

Unit cell a=3.021 b=3.832 c=7.406 alpha=90.00 beta=90.00 gamma=90.00
Element x y z (fractional)
Ba  0.000  0.000  0.000
Zn  0.500  0.500  0.327
Zn  0.500  0.500  0.673
W  0.000  0.000  0.500

Energy of formation   474 meV per atom
DFT total energy   -3.882 eV/atom
Energy relative to the lowest polymorph listed for this composition   0.000 eV per atom

***

[2]
A relaxed structure of BaZn2W. Source: Alexandria via LeMat-Bulk, functional GGA-PBE.

Unit cell a=9.827 b=9.827 c=9.827 alpha=150.41 beta=150.41 gamma=42.34
Element x y z (fractional)
Ba  0.375  0.625  0.750
Ba  0.625  0.375  0.250
Zn  0.000  0.000  0.000
Zn  0.000  0.000  0.500
Zn  0.000  0.500  0.000
Zn  0.500  0.000  0.500
W  0.125  0.875  0.250
W  0.875  0.125  0.750

Energy of formation   849 meV per atom
DFT total energy   -3.507 eV/atom
Energy relative to the lowest polymorph listed for this composition   0.375 eV per atom

***

[3]
A relaxed structure of BaZn2W. Source: Alexandria via LeMat-Bulk, functional GGA-PBE.

Unit cell a=10.200 b=10.200 c=10.200 alpha=17.39 beta=17.39 gamma=17.39
Element x y z (fractional)
Ba  0.000  0.000  0.000
Zn  0.236  0.236  0.236
Zn  0.764  0.764  0.764
W  0.500  0.500  0.500

Energy of formation   734 meV per atom
DFT total energy   -3.622 eV/atom
Energy relative to the lowest polymorph listed for this composition   0.259 eV per atom